Entry 1:
DFT (PBE) results for a relaxed structure of Zr2SnW2.

The structure in CIF format:
```
data_Zr2SnW2
_chemical_formula_sum 'Zr4 Sn2 W4'
_space_group_name_H-M_alt 'I 4/m m m'
_space_group_IT_number 139
_space_group_name_Hall '-I 4 2'
_cell_length_a 3.607
_cell_length_b 3.607
_cell_length_c 17.131
_cell_angle_alpha 90.00
_cell_angle_beta 90.00
_cell_angle_gamma 90.00
loop_
_atom_site_label
_atom_site_type_symbol
_atom_site_fract_x
_atom_site_fract_y
_atom_site_fract_z
Zr1 Zr 0.000 0.000 0.110
Sn1 Sn 0.000 0.000 0.500
W1 W 0.000 0.500 0.250
```

Calculated values
Formation energy from the elements ... 0.379 eV/atom
Relative energy among the computed polymorphs ... 0.0 meV/atom

Entry 2:
DFT (PBE) results for a relaxed structure of CdBi2Pd2.

The structure in CIF format:
```
data_CdBi2Pd2
_chemical_formula_sum 'Cd2 Bi4 Pd4'
_space_group_name_H-M_alt 'I m m m'
_space_group_IT_number 71
_space_group_name_Hall '-I 2 2'
_cell_length_a 4.397
_cell_length_b 5.986
_cell_length_c 8.506
_cell_angle_alpha 90.00
_cell_angle_beta 90.00
_cell_angle_gamma 90.00
loop_
_atom_site_label
_atom_site_type_symbol
_atom_site_fract_x
_atom_site_fract_y
_atom_site_fract_z
Cd1 Cd 0.000 0.000 0.000
Bi1 Bi 0.000 0.500 0.199
Pd1 Pd 0.000 0.231 0.500
```

Calculated values
Formation energy from the elements ... -0.239 eV/atom
Relative energy among the computed polymorphs ... 18.2 meV/atom

Entry 3:
DFT (PBE) results for a relaxed structure of SmWC2.

The structure in CIF format:
```
data_SmWC2
_chemical_formula_sum 'Sm3 W3 C6'
_space_group_name_H-M_alt 'R -3 m'
_space_group_IT_number 166
_space_group_name_Hall '-R 3 2"'
_cell_length_a 3.2716
_cell_length_b 3.2716
_cell_length_c 17.0606
_cell_angle_alpha 90.00
_cell_angle_beta 90.00
_cell_angle_gamma 120.00
loop_
_atom_site_label
_atom_site_type_symbol
_atom_site_fract_x
_atom_site_fract_y
_atom_site_fract_z
Sm1 Sm 0.0000 0.0000 0.0000
W1 W 0.0000 0.0000 0.5000
C1 C 0.0000 0.0000 0.2346
```

Calculated values
Formation energy from the elements ... -0.022 eV/atom
Relative energy among the computed polymorphs ... 0.0 meV/atom

Entry 4:
DFT (PBE) results for a relaxed structure of TiZnO6F6.

The structure in CIF format:
```
data_TiZnO6F6
_chemical_formula_sum 'Ti2 Zn2 O12 F12'
_space_group_name_H-M_alt 'P 1 21/c 1'
_space_group_IT_number 14
_cell_length_a 6.587
_cell_length_b 8.694
_cell_length_c 6.707
_cell_angle_alpha 90.00
_cell_angle_beta 95.82
_cell_angle_gamma 90.00
loop_
_space_group_symop_operation_xyz
'x,y,z'
'-x,-y,-z'
'-x,y+1/2,-z+1/2'
'x,-y+1/2,z+1/2'
loop_
_atom_site_label
_atom_site_type_symbol
_atom_site_fract_x
_atom_site_fract_y
_atom_site_fract_z
Ti1 Ti 0.000 0.000 0.000
Zn1 Zn 0.500 0.000 0.500
O1 O 0.249 0.118 0.471
O2 O 0.375 0.722 0.858
O3 O 0.461 0.552 0.287
F1 F 0.116 0.023 0.759
F2 F 0.167 0.677 0.565
F3 F 0.207 0.127 0.133
```

Calculated values
Total energy ... -4.1154 eV/atom